No. 1
# HoV2CuO8

An optimized crystal structure of HoV2CuO8 (PBE+U, the Alexandria database).

Summary:
For the total energy, the calculation gives -7.09 eV/atom.

Cell lengths 5.7699, 5.7699, 5.7829 Å; angles 90.00, 90.00, 120.00 degrees
Space group P-3m1 (No. 164)
Asymmetric unit:
Ho (0.0000, 0.0000, 0.0000) (multiplicity 1)
V (0.3333, 0.6667, 0.6385) (multiplicity 2)
Cu (0.0000, 0.0000, 0.5000) (multiplicity 1)
O (0.1605, 0.3210, 0.7264) (multiplicity 6)
O (0.3333, 0.6667, 0.3569) (multiplicity 2)

---

No. 2
# Ho2CuW4O16

An optimized crystal structure of Ho2CuW4O16 (PBE+U, the Alexandria database).

Summary:
The density of states at the Fermi level is 9.34 states/eV/cell. For the total energy, the calculation gives -7.51 eV/atom.

Cell lengths 19.662, 5.642, 11.223 Å; angles 90.00, 110.65, 90.00 degrees
Space group C2/c (No. 15)
Asymmetric unit:
Ho (0.151, 0.169, 0.458) (multiplicity 8)
Cu (0.000, 0.145, 0.750) (multiplicity 4)
W (0.056, 0.313, 0.092) (multiplicity 8)
W (0.188, 0.379, 0.787) (multiplicity 8)
O (0.009, 0.380, 0.909) (multiplicity 8)
O (0.013, 0.121, 0.377) (multiplicity 8)
O (0.108, 0.369, 0.274) (multiplicity 8)
O (0.117, 0.094, 0.074) (multiplicity 8)
O (0.131, 0.413, 0.601) (multiplicity 8)
O (0.133, 0.154, 0.827) (multiplicity 8)
O (0.233, 0.478, 0.449) (multiplicity 8)
O (0.245, 0.321, 0.239) (multiplicity 8)

---

Q: Which of these has the lowest total energy?
A: Ho2CuW4O16

---

Q: Look up the total energy of the first one.
A: -7.09 eV/atom

---

Q: total energy of number 1 (HoV2CuO8)?
A: -7.09 eV/atom

---

Q: total energy of number 1 (HoV2CuO8)?
A: -7.09 eV/atom